Entry 1:
A geometry-optimized P2PbW structure. Source: the Alexandria database, functional PBEsol.

Output
The calculation puts the calculated formation energy at 59.5 meV per atom. As for the final energy: -7.29 eV per atom. The magnetization is 0.0 μB/cell. As for the density of states at the Fermi level: 0.3393 states/eV/atom. Its crystal system is monoclinic.

a b c (Å): 4.4420 4.4420 6.2931
angles (deg): 105.22 105.22 42.91
Fractional positions:
P  0.0000  0.0000  0.0000
P  0.1490  0.1490  0.6752
Pb  0.3419  0.3419  0.3811
W  0.7031  0.7031  0.9627

Entry 2:
A geometry-optimized ScTlCd structure. Source: the Alexandria database, functional PBEsol.

Output
The calculation puts the calculated formation energy at -173.1 meV per atom. As for the final energy: -3.65 eV per atom. The magnetization is 0.5 μB/cell. As for the density of states at the Fermi level: 0.5463 states/eV/atom. Its crystal system is tetragonal.

a b c (Å): 6.5831 6.5831 6.5831
angles (deg): 151.14 151.14 41.27
Fractional positions:
Sc  0.0000  0.0000  0.0000
Tl  0.6675  0.6675  0.0000
Cd  0.3399  0.3399  0.0000

Entry 3:
A geometry-optimized Mg2ReBiS structure. Source: the Alexandria database, functional PBEsol.

Output
As for the final energy: -4.84 eV per atom. The uncorrected formation energy comes out at 0.248 eV/atom. The magnetization is 0.0 μB/cell. As for the density of states at the Fermi level: 0.5399 states/eV/atom. Its crystal system is tetragonal.

a b c (Å): 4.8756 4.8756 4.3719
angles (deg): 90.00 90.00 90.00
Fractional positions:
Mg  0.0000  0.5000  0.0000
Mg  0.5000  0.0000  0.0000
Re  0.0000  0.0000  0.5000
Bi  0.5000  0.5000  0.5000
S  0.0000  0.0000  0.0000